## 1
Ba3LaTc | GGA-PBE | relaxed

The structure in extended XYZ format:
```
5
Lattice="-1.211 1.260 5.900 0.068 -6.014 1.299 6.033 0.320 1.169" Properties=species:S:1:pos:R:3 pbc="T T T"
Tc 2.445 -2.217 4.184
Ba 0.034 -3.007 0.649
La 0.000 0.000 0.000
Ba 3.016 0.160 0.585
Ba -0.605 0.630 2.950
```


## 2
Ba3LaTc | GGA-PBE | relaxed

The structure in extended XYZ format:
```
5
Lattice="5.972 0.000 0.000 0.000 5.972 0.000 0.000 0.000 5.972" Properties=species:S:1:pos:R:3 pbc="T T T"
Ba 0.000 2.986 0.000
Ba 2.986 0.000 0.000
Ba 0.000 0.000 2.986
La 2.986 2.986 2.986
Tc 0.000 0.000 0.000
```


Bottom line: 2, by a margin of 1.084 eV/atom.


## 1
Ba2LaTc2 | GGA-PBE | relaxed

The structure in extended XYZ format:
```
10
Lattice="-7.058 -3.527 -5.100 6.194 -3.649 -6.049 0.102 -2.791 1.788" Properties=species:S:1:pos:R:3 pbc="T T T"
Tc 2.998 -4.466 -4.066
La 0.000 0.000 0.000
Tc 0.415 -6.787 -7.540
Ba 1.349 -1.808 -2.899
Ba -2.214 -5.368 -8.249
Ba -3.643 -2.710 -4.020
Tc -1.177 -3.180 -1.820
La -0.432 -3.588 -5.574
Tc -3.760 -5.501 -5.294
Ba 2.779 -4.466 -7.128
```


## 2
Ba2LaTc2 | GGA-PBE | relaxed

The structure in extended XYZ format:
```
5
Lattice="5.278 0.000 0.000 0.000 5.278 0.000 2.639 2.639 5.585" Properties=species:S:1:pos:R:3 pbc="T T T"
La 0.000 0.000 0.000
Ba 2.639 2.639 1.609
Tc 5.278 2.639 2.792
Tc 2.639 5.278 2.792
Ba 5.278 5.278 3.976
```


Bottom line: 1, by a margin of 0.142 eV/atom.


## 1
BaLa2YTc | GGA-PBE | relaxed

The structure in extended XYZ format:
```
5
Lattice="-2.671 1.543 -4.665 4.495 -1.378 -3.030 -2.053 -5.374 -0.602" Properties=species:S:1:pos:R:3 pbc="T T T"
Ba -0.115 -2.605 -4.148
La 2.247 -0.689 -1.515
La -1.336 0.771 -2.332
Tc 0.000 0.000 0.000
Y -1.027 -2.687 -0.301
```


## 2
BaLa2YTc | GGA-PBE | relaxed

The structure in extended XYZ format:
```
5
Lattice="-2.470 1.718 -5.296 -2.561 -4.274 -0.192 -4.605 2.626 2.999" Properties=species:S:1:pos:R:3 pbc="T T T"
Y 0.000 0.000 0.000
Ba -4.818 0.035 -1.244
La -2.303 1.313 1.500
Tc -1.281 -2.137 -0.096
La -1.235 0.859 -2.648
```


Bottom line: 1, by a margin of 0.836 eV/atom.


## 1
BaLaTe3 | GGA-PBE | relaxed

The structure in extended XYZ format:
```
5
Lattice="-1.244 -0.068 -6.058 -3.866 -4.753 0.848 -4.665 3.958 0.914" Properties=species:S:1:pos:R:3 pbc="T T T"
La -4.888 -0.432 -2.149
Te -1.933 -2.376 0.424
Ba 0.000 0.000 0.000
Te -2.332 1.979 0.457
Te -0.622 -0.034 -3.029
```


## 2
BaLaTe3 | GGA-PBE | relaxed

The structure in extended XYZ format:
```
5
Lattice="-5.213 3.171 -0.534 -0.652 -2.037 -5.739 -3.149 -4.828 2.071" Properties=species:S:1:pos:R:3 pbc="T T T"
La 0.000 0.000 0.000
Ba -4.507 -1.847 -2.101
Te -1.575 -2.414 1.036
Te -2.606 1.586 -0.267
Te -0.326 -1.019 -2.870
```


Bottom line: 2, by a margin of 0.844 eV/atom.


## 1
BaLa2Te4 | GGA-PBE | relaxed

The structure in extended XYZ format:
```
28
Lattice="-0.718 -4.232 -2.038 7.530 3.701 -10.337 13.719 -6.089 7.814" Properties=species:S:1:pos:R:3 pbc="T T T"
La 5.137 -1.742 -6.502
La 12.618 -8.267 4.416
Te 1.117 -3.478 -1.480
Te 5.798 -4.060 -1.921
La 15.201 -1.271 -5.483
Te 9.352 -3.611 -4.103
Te 18.331 -4.664 0.462
Te 12.661 -5.162 3.492
Te 12.552 -3.028 -6.440
Te 2.201 -1.956 -5.023
Te 6.556 -0.554 -3.928
Te 14.733 -2.560 -2.641
Ba 10.493 -6.214 0.901
La 15.395 -4.878 1.940
Ba 3.789 -1.154 -1.708
Te 9.352 -7.535 4.046
Te 13.975 -6.066 -0.634
Te 19.414 -3.141 -3.082
Te 11.180 0.916 -8.607
La 12.244 -4.580 -3.110
Te 7.979 -3.591 1.879
Ba 10.039 -0.405 -5.462
Te 11.180 -3.008 -0.459
Ba 16.742 -5.466 -2.853
La 5.330 -5.349 0.922
La 7.914 1.648 -8.978
Te 7.870 -1.458 -8.054
La 8.288 -2.040 -1.452
```


## 2
BaLa2Te4 | GGA-PBE | relaxed

The structure in extended XYZ format:
```
14
Lattice="4.674 0.000 0.000 -2.337 7.628 0.000 0.000 0.000 15.744" Properties=species:S:1:pos:R:3 pbc="T T T"
Te 2.337 0.000 7.872
Ba 0.000 5.930 3.936
Te 2.337 4.113 1.848
La 0.000 2.048 6.818
Te 0.000 3.515 9.720
Te 2.337 0.000 0.000
La 2.337 5.580 14.690
Te 2.337 6.805 11.808
Te 0.000 0.823 3.936
Te 2.337 4.113 6.024
Ba 2.337 1.698 11.808
Te 0.000 3.515 13.897
La 2.337 5.580 8.926
La 0.000 2.048 1.054
```


Bottom line: 1, by a margin of 0.021 eV/atom.


## 1
Ba2LaTl | GGA-PBE | relaxed

The structure in extended XYZ format:
```
4
Lattice="5.323 0.000 0.000 0.000 5.321 0.000 0.000 0.000 5.676" Properties=species:S:1:pos:R:3 pbc="T T T"
Tl 0.000 2.660 2.838
Ba 2.662 2.660 0.000
La 2.662 0.000 2.838
Ba 0.000 0.000 0.000
```


## 2
Ba2LaTl | GGA-PBE | relaxed

The structure in extended XYZ format:
```
4
Lattice="5.628 0.000 0.000 0.000 4.224 -0.183 0.000 2.425 7.275" Properties=species:S:1:pos:R:3 pbc="T T T"
La 0.000 4.130 3.568
Tl 2.814 4.181 5.307
Ba 0.000 6.364 6.664
Ba 2.814 1.947 2.193
```


Bottom line: 2, by a margin of 0.031 eV/atom.


## 1
Ba2LaTl | GGA-PBE | relaxed

The structure in extended XYZ format:
```
4
Lattice="4.196 0.000 0.000 0.000 4.196 0.000 0.000 0.000 10.275" Properties=species:S:1:pos:R:3 pbc="T T T"
Ba 0.000 0.000 9.629
Tl 2.098 2.098 7.369
La 0.000 0.000 5.744
Ba 2.098 2.098 2.946
```


## 2
Ba2LaTl | GGA-PBE | relaxed

The structure in extended XYZ format:
```
4
Lattice="-5.996 2.390 -2.308 -5.490 -3.225 2.541 5.624 2.840 2.701" Properties=species:S:1:pos:R:3 pbc="T T T"
Ba -5.743 -0.418 0.116
Tl -3.058 2.406 0.255
Ba 0.000 0.000 0.000
La -2.804 -0.401 2.679
```


Bottom line: 1, by a margin of 0.104 eV/atom.


## 1
Ba2LaTl | GGA-PBE | relaxed

The structure in extended XYZ format:
```
8
Lattice="-3.284 3.821 -0.733 -3.204 -2.112 3.346 2.342 7.481 10.836" Properties=species:S:1:pos:R:3 pbc="T T T"
La -2.053 3.112 7.745
Ba -0.618 6.291 9.046
Ba -1.927 4.064 2.656
Tl -2.093 6.079 5.705
Ba -1.768 0.959 4.722
La -3.244 0.855 1.307
Ba -3.978 7.069 10.475
Tl 0.000 0.000 0.000
```


## 2
Ba2LaTl | GGA-PBE | relaxed

The structure in extended XYZ format:
```
4
Lattice="6.620 -0.003 0.000 2.181 6.251 0.000 -4.400 -3.124 3.835" Properties=species:S:1:pos:R:3 pbc="T T T"
Ba 1.090 3.125 1.917
La 4.400 3.124 0.000
Tl 3.310 -0.002 1.917
Ba 0.000 0.000 0.000
```


## 3
Ba2LaTl | GGA-PBE | relaxed

The structure in extended XYZ format:
```
4
Lattice="-5.547 -8.766 7.216 -7.362 -9.595 3.664 -3.716 -11.203 4.513" Properties=species:S:1:pos:R:3 pbc="T T T"
Ba -0.144 -0.257 0.134
Tl -12.468 -22.174 11.545
La -4.156 -7.391 3.848
Ba -8.167 -14.526 7.563
```


Bottom line: 2, by a margin of 0.031 eV/atom.